Computed, not measured: crystalline CaPmAu2 at its relaxed geometry at the PBEsol level of DFT.

Calculated values
* density of states at the Fermi level: 2.636 states/eV/cell
* total magnetic moment: 0.0 μB per formula unit
* theoretical density: 10.4 Mg/m³
* E_form: -3.127 eV/f.u.
* calculated volume: 92 Å³/f.u.

Unit cell a=5.0734 b=5.0734 c=5.0734 alpha=60.00 beta=60.00 gamma=60.00
Sites, in units of the cell vectors:
Ca  0.0000  0.0000  0.0000
Pm  0.5000  0.5000  0.5000
Au  0.2500  0.2500  0.2500
Au  0.7500  0.7500  0.7500

Computed, not measured: crystalline Tl2TePb at its relaxed geometry at the PBEsol level of DFT.

Calculated values
* density of states at the Fermi level: 1.431 states/eV/cell
* total magnetic moment: 0.0 μB per formula unit
* theoretical density: 10.5 Mg/m³
* formation energy from raw total energies: -0.072 eV/atom
* calculated volume: 118 Å³/f.u.

Unit cell a=3.3331 b=5.7628 c=6.1291 alpha=90.00 beta=91.01 gamma=90.00
Sites, in units of the cell vectors:
Tl  0.0000  0.0000  0.0000
Tl  0.0559  0.5000  0.7029
Te  0.5362  0.0000  0.4910
Pb  0.5295  0.5000  0.2154

Computed, not measured: crystalline RbFeN2 at its relaxed geometry at the PBEsol level of DFT.

Calculated values
* density of states at the Fermi level: 4.050 states/eV/cell
* total magnetic moment: 1.9 μB per formula unit
* theoretical density: 5.5 Mg/m³
* formation energy from raw total energies: 1.956 eV/atom
* calculated volume: 52 Å³/f.u.

Unit cell a=4.1765 b=4.1765 c=4.1765 alpha=60.00 beta=60.00 gamma=60.00
Sites, in units of the cell vectors:
Rb  0.0000  0.0000  0.0000
Fe  0.5000  0.5000  0.5000
N  0.2500  0.2500  0.2500
N  0.7500  0.7500  0.7500

Computed, not measured: crystalline LiCa2TeO6 at its relaxed geometry at the PBEsol level of DFT.

Calculated values
* density of states at the Fermi level: 13.052 states/eV/cell
* total magnetic moment: 1.1 μB per formula unit
* theoretical density: 4.3 Mg/m³
* formation energy from raw total energies: -2.015 eV/atom
* calculated volume: 119 Å³/f.u.

Unit cell a=5.4727 b=5.6859 c=9.2616 alpha=90.00 beta=124.39 gamma=90.00
Sites, in units of the cell vectors:
Li  0.0000  0.0000  0.0000
Li  0.0000  0.5000  0.5000
Ca  0.2248  0.0615  0.7446
Ca  0.2248  0.4385  0.2446
Ca  0.7752  0.5615  0.7554
Ca  0.7752  0.9385  0.2554
Te  0.5000  0.0000  0.5000
Te  0.5000  0.5000  0.0000
O  0.1700  0.1901  0.4534
O  0.1700  0.3099  0.9534
O  0.2573  0.7224  0.4421
O  0.2573  0.7776  0.9421
O  0.3630  0.0360  0.2590
O  0.3630  0.4640  0.7590
O  0.6370  0.5360  0.2410
O  0.6370  0.9640  0.7410
O  0.7427  0.2224  0.0579
O  0.7427  0.2776  0.5579
O  0.8300  0.6901  0.0466
O  0.8300  0.8099  0.5466

Number 3 is which compound?
RbFeN2

Repeat the fourth record exactly.
Computed, not measured: crystalline LiCa2TeO6 at its relaxed geometry at the PBEsol level of DFT.

Calculated values
* density of states at the Fermi level: 13.052 states/eV/cell
* total magnetic moment: 1.1 μB per formula unit
* theoretical density: 4.3 Mg/m³
* formation energy from raw total energies: -2.015 eV/atom
* calculated volume: 119 Å³/f.u.

Unit cell a=5.4727 b=5.6859 c=9.2616 alpha=90.00 beta=124.39 gamma=90.00
Sites, in units of the cell vectors:
Li  0.0000  0.0000  0.0000
Li  0.0000  0.5000  0.5000
Ca  0.2248  0.0615  0.7446
Ca  0.2248  0.4385  0.2446
Ca  0.7752  0.5615  0.7554
Ca  0.7752  0.9385  0.2554
Te  0.5000  0.0000  0.5000
Te  0.5000  0.5000  0.0000
O  0.1700  0.1901  0.4534
O  0.1700  0.3099  0.9534
O  0.2573  0.7224  0.4421
O  0.2573  0.7776  0.9421
O  0.3630  0.0360  0.2590
O  0.3630  0.4640  0.7590
O  0.6370  0.5360  0.2410
O  0.6370  0.9640  0.7410
O  0.7427  0.2224  0.0579
O  0.7427  0.2776  0.5579
O  0.8300  0.6901  0.0466
O  0.8300  0.8099  0.5466

Among the records above, which one has the lowest density of states at the Fermi level?
Tl2TePb